[1]
Density functional theory data (PBE-GGA) for a relaxed structure of MgGa3Rh.

The calculation puts the energy of formation from the pure elements at -294 meV/atom.

It has space group C2/m (No. 12), with a = 9.901 Å, b = 7.626 Å, c = 6.589 Å, α = 90.00°, β = 129.88° and γ = 90.00°. Symmetry generates all atoms from Mg at (0.043, 0.000, 0.271), Ga at (0.094, 0.500, 0.353), Ga at (0.188, 0.311, 0.125) and Rh at (0.214, 0.500, 0.819).

[2]
Density functional theory data (PBE-GGA) for a relaxed structure of Mg3Ga2Rh.

The calculation puts the energy of formation from the pure elements at -347 meV/atom.

It has space group P-1 (No. 2), with a = 3.352 Å, b = 4.369 Å, c = 7.974 Å, α = 105.77°, β = 102.09° and γ = 90.07°. Symmetry generates all atoms from Mg at (0.000, 0.000, 0.000), Mg at (0.316, 0.815, 0.631), Ga at (0.129, 0.628, 0.258) and Rh at (0.500, 0.500, 0.000).

[3]
Density functional theory data (PBE-GGA) for a relaxed structure of Mg2Ga4Rh.

The calculation puts the energy of formation from the pure elements at -141 meV/atom.

It has space group Cmmm (No. 65), with a = 4.788 Å, b = 17.270 Å, c = 3.151 Å, α = 90.00°, β = 90.00° and γ = 90.00°. Symmetry generates all atoms from Mg at (0.000, 0.209, 0.000), Ga at (0.000, 0.074, 0.500), Ga at (0.000, 0.381, 0.000) and Rh at (0.000, 0.500, 0.500).

[4]
Density functional theory data (PBE-GGA) for a relaxed structure of MgGa4RuRh2.

The calculation puts the energy of formation from the pure elements at -458 meV/atom.

It has space group R-3m (No. 166, hexagonal axes), with a = 4.3477 Å, b = 4.3477 Å, c = 21.4926 Å, α = 90.00°, β = 90.00° and γ = 120.00°. Symmetry generates all atoms from Mg at (0.0000, 0.0000, 0.0000), Ga at (0.0000, 0.0000, 0.1315), Ga at (0.0000, 0.0000, 0.3802), Ru at (0.0000, 0.0000, 0.5000) and Rh at (0.0000, 0.0000, 0.2543).

| no. | DOS(E_F) (states/eV per cell) |
| --- | --- |
| 1 | 8.33 |
| 2 | 2.22 |
| 3 | 4.85 |
| 4 | 8.46 |